The following is a DFT calculation (PBE) of crystalline KTcIr2 at its relaxed geometry.

The space group is R-3m (No. 166, hexagonal axes) and the conventional cell measures 2.8168, 2.8168 and 30.0897 Å, with angles of 90.00, 90.00 and 120.00 degrees. The inequivalent atoms are K at (0.0000, 0.0000, 0.0000), Tc at (0.0000, 0.0000, 0.5000) and Ir at (0.0000, 0.0000, 0.2367).

Its size of the total moment is 0.00 μB per atom. The energy above the most stable polymorph in this dataset is 0.105 eV per atom. The calculated volume is 17.2 Å³ per atom. The value obtained for the energy relative to the elements is 0.460 eV per atom.

The following is a DFT calculation (PBE) of crystalline Pr2SmEr5Tm at its relaxed geometry.

The space group is I4/mcm (No. 140) and the conventional cell measures 8.653, 8.653 and 15.566 Å, with angles of 90.00, 90.00 and 90.00 degrees. The inequivalent atoms are Pr at (0.118, 0.382, 0.000), Sm at (0.000, 0.000, 0.250), Er at (0.000, 0.000, 0.000), Er at (0.212, 0.288, 0.360) and Tm at (0.000, 0.500, 0.250).

Its size of the total moment is 0.00 μB per atom. The calculated volume is 32.4 Å³ per atom. The value obtained for the energy relative to the elements is 0.272 eV per atom.

The following is a DFT calculation (PBE) of crystalline Ac2UCo2N6 at its relaxed geometry.

The space group is R-3m (No. 166, hexagonal axes) and the conventional cell measures 5.9141, 5.9141 and 16.4819 Å, with angles of 90.00, 90.00 and 120.00 degrees. The inequivalent atoms are Ac at (0.0000, 0.0000, 0.2240), U at (0.0000, 0.0000, 0.0000), Co at (0.0000, 0.0000, 0.4317) and N at (0.0098, 0.5049, 0.7497).

Its size of the total moment is 0.38 μB per atom. For the formation energy (no corrections), the calculation gives -662.9 meV per atom. The calculated volume is 15.1 Å³ per atom.

The following is a DFT calculation (PBE) of crystalline NiIr at its relaxed geometry.

The space group is Pm-3n (No. 223) and the conventional cell measures 6.510, 6.510 and 6.510 Å, with angles of 90.00, 90.00 and 90.00 degrees. The inequivalent atoms are Ni at (0.000, 0.250, 0.500) and Ir at (0.000, 0.500, 0.250).

Its size of the total moment is 0.00 μB per atom. The calculated volume is 23.0 Å³ per atom. The value obtained for the energy relative to the elements is 1.393 eV per atom.

The following is a DFT calculation (PBE) of crystalline HfMgTi at its relaxed geometry.

The space group is P-1 (No. 2) and the conventional cell measures 3.007, 3.013 and 13.669 Å, with angles of 90.01, 90.03 and 90.96 degrees. The inequivalent atoms are Hf at (0.248, 0.250, 0.275), Mg at (0.251, 0.250, 0.909) and Ti at (0.250, 0.250, 0.573).

Its size of the total moment is 0.00 μB per atom. The energy above the most stable polymorph in this dataset is 0.000 eV per atom. The calculated volume is 20.6 Å³ per atom. The value obtained for the energy relative to the elements is 0.034 eV per atom.

The following is a DFT calculation (PBE) of crystalline EuDyAgHg at its relaxed geometry.

The space group is F-43m (No. 216) and the conventional cell measures 7.506, 7.506 and 7.506 Å, with angles of 90.00, 90.00 and 90.00 degrees. The inequivalent atoms are Eu at (0.000, 0.000, 0.000), Dy at (0.000, 0.000, 0.500), Ag at (0.250, 0.250, 0.250) and Hg at (0.250, 0.250, 0.750).

Its size of the total moment is 1.80 μB per atom. The calculated volume is 26.4 Å³ per atom. The value obtained for the energy relative to the elements is -0.375 eV per atom.